Below is CsVF3 after structural relaxation, with properties calculated at the PBE+U level.

Results
- M_tot: 3.0 μB/f.u.
- Calculated density: 4.1 Mg/m³
- Space group: Pmma, No. 51
- Electronic total energy: -5.38 eV per atom

Cell: 22.0403 6.3526 8.3765 Å, 90.00 160.54 90.00°
Each line ends with the local moment (μB).
Element x y z (fractional)
Cs 0.6290 0.2500 0.6292  0.01
Cs 0.3710 0.7500 0.3708  0.01
Cs 0.8710 0.7500 0.8708  0.01
Cs 0.1290 0.2500 0.1292  0.01
F 0.4870 0.7500 0.9868  0.00
F 0.5979 0.7500 0.5980  0.01
F 0.4021 0.2500 0.4020  0.01
F 0.7500 0.5000 0.2500  0.02
F 0.9870 0.7500 0.4868  0.00
F 0.2500 0.5000 0.7500  0.02
F 0.7500 0.0000 0.2500  0.02
F 0.9021 0.2500 0.9020  0.01
F 0.2500 0.0000 0.7500  0.02
F 0.0130 0.2500 0.5132  0.00
F 0.0979 0.7500 0.0980  0.01
F 0.5130 0.2500 0.0132  0.00
V 0.3496 0.7500 0.8496  2.72
V 0.1504 0.2500 0.6504  2.72
V 0.8496 0.7500 0.3496  2.72
V 0.6504 0.2500 0.1504  2.72